This record from the Alexandria database describes HoZn2Ag2 after structural relaxation. The functional is GGA-PBE.

## Properties
The value obtained for the spin magnetization is 0.00 μB/cell. The energy of formation comes out at -0.182 eV per atom. The value obtained for the density of states at the Fermi level is 0.463 states/eV/atom.

Lattice parameters (Å, degrees): 5.423 6.844 7.174 73.33 65.50 52.69
Atoms (fractional coordinates):
Ho1 0.984 0.615 0.213
Zn1 0.398 0.859 0.034
Ag1 0.234 0.783 0.765
Zn2 0.602 0.141 0.966
Ag2 0.298 0.085 0.376
Zn3 0.320 0.671 0.399
Zn4 0.680 0.329 0.601
Ag3 0.766 0.217 0.235
Ag4 0.702 0.915 0.624
Ho2 0.016 0.385 0.787

This record from the Alexandria database describes Ho3Zn6Ag5 after structural relaxation. The functional is GGA-PBE.

## Properties
The value obtained for the spin magnetization is 0.00 μB/cell. The energy of formation comes out at -0.244 eV per atom. The value obtained for the density of states at the Fermi level is 0.488 states/eV/atom.

Lattice parameters (Å, degrees): 4.419 8.329 8.329 68.45 74.62 74.62
Atoms (fractional coordinates):
Zn1 0.500 0.682 0.318
Zn2 0.870 0.843 0.417
Ag1 0.665 0.982 0.689
Ag2 0.335 0.311 0.018
Ag3 0.000 0.500 0.500
Zn3 0.130 0.157 0.583
Ho1 0.297 0.703 0.703
Ho2 0.000 0.000 0.000
Ag4 0.335 0.018 0.311
Zn4 0.500 0.318 0.682
Ag5 0.665 0.689 0.982
Zn5 0.870 0.417 0.843
Zn6 0.130 0.583 0.157
Ho3 0.703 0.297 0.297

This record from the Alexandria database describes HoZn11Ag after structural relaxation. The functional is GGA-PBE.

## Properties
The value obtained for the spin magnetization is 0.00 μB/cell. The energy of formation comes out at -0.154 eV per atom. The value obtained for the density of states at the Fermi level is 0.324 states/eV/atom.

Lattice parameters (Å, degrees): 5.312 6.841 6.821 81.18 67.09 66.82
Atoms (fractional coordinates):
Zn1 0.278 0.213 0.219
Zn2 0.503 0.787 0.219
Zn3 0.000 0.000 0.500
Zn4 0.348 0.649 0.643
Zn5 0.000 0.500 0.000
Zn6 0.009 0.351 0.643
Zn7 0.652 0.351 0.357
Zn8 0.991 0.649 0.357
Ho1 0.000 0.000 0.000
Zn9 0.500 0.000 0.500
Ag1 0.500 0.500 0.000
Zn10 0.722 0.787 0.781
Zn11 0.497 0.213 0.781

This record from the Alexandria database describes Ho3Zn2Ag4 after structural relaxation. The functional is GGA-PBE.

## Properties
The value obtained for the spin magnetization is 0.00 μB/cell. The energy of formation comes out at -0.301 eV per atom. The value obtained for the density of states at the Fermi level is 0.618 states/eV/atom.

Lattice parameters (Å, degrees): 4.645 5.765 8.811 115.36 90.00 113.75
Atoms (fractional coordinates):
Ag1 0.281 0.561 0.937
Ag2 0.066 0.132 0.393
Ag3 0.934 0.868 0.607
Zn1 0.621 0.242 0.290
Ho1 0.662 0.324 0.672
Ho2 0.000 0.000 0.000
Ho3 0.338 0.676 0.328
Zn2 0.379 0.758 0.710
Ag4 0.719 0.439 0.063

This record from the Alexandria database describes HoZn6Ag6 after structural relaxation. The functional is GGA-PBE.

## Properties
The value obtained for the spin magnetization is 0.00 μB/cell. The energy of formation comes out at -0.149 eV per atom. The value obtained for the density of states at the Fermi level is 0.384 states/eV/atom.

Lattice parameters (Å, degrees): 5.201 7.043 7.043 82.45 68.33 68.33
Atoms (fractional coordinates):
Ag1 0.694 0.806 0.806
Ag2 0.306 0.194 0.194
Zn1 0.500 0.000 0.500
Ag3 0.000 0.655 0.345
Zn2 0.000 0.500 0.000
Zn3 0.500 0.500 0.000
Zn4 0.500 0.227 0.773
Zn5 0.500 0.773 0.227
Ag4 0.346 0.654 0.654
Ag5 0.654 0.346 0.346
Ag6 0.000 0.345 0.655
Ho1 0.000 0.000 0.000
Zn6 0.000 0.000 0.500

This record from the Alexandria database describes Ho4Zn2Ag after structural relaxation. The functional is GGA-PBE.

## Properties
The value obtained for the spin magnetization is 0.00 μB/cell. The energy of formation comes out at -0.059 eV per atom. The value obtained for the density of states at the Fermi level is 1.318 states/eV/atom. Its energy above the most stable polymorph in this dataset is 115 meV/atom.

Lattice parameters (Å, degrees): 4.880 4.880 9.426 75.00 75.00 60.00
Atoms (fractional coordinates):
Ho1 0.620 0.620 0.140
Ho2 0.797 0.797 0.610
Ho3 0.203 0.203 0.390
Zn1 0.904 0.904 0.288
Ag1 0.000 0.000 0.000
Zn2 0.096 0.096 0.712
Ho4 0.380 0.380 0.860